Below is a relaxed structure of Nd8DyHo2, with properties calculated at the PBE-GGA level.

Space-group type: C2/m, No. 12
Energy above the lowest structure with this stoichiometry in eV per atom: 0.009
Calculated density in g/cm3: 7.18
Spin magnetization in Bohr magnetons per cell: 0.0
ΔE_f in eV per atom: 0.168

Unit cell a=6.727 b=10.386 c=10.386 alpha=38.31 beta=59.84 gamma=59.84
Sites, in units of the cell vectors:
Nd (0.168, 0.755, 0.755)
Nd (0.768, 0.652, 0.175)
Nd (0.768, 0.175, 0.652)
Nd (0.832, 0.245, 0.245)
Nd (0.232, 0.348, 0.825)
Nd (0.274, 0.405, 0.405)
Nd (0.726, 0.595, 0.595)
Nd (0.232, 0.825, 0.348)
Ho (0.585, 0.803, 0.803)
Ho (0.415, 0.197, 0.197)
Dy (0.000, 0.000, 0.000)

---

Below is a relaxed structure of K2GaHgF6, with properties calculated at the PBE-GGA level.

Space-group type: Pmmn, No. 59
Energy above the lowest structure with this stoichiometry in eV per atom: 0.000
Calculated density in g/cm3: 4.31
Spin magnetization in Bohr magnetons per cell: 0.0

Unit cell a=6.013 b=6.707 c=8.845 alpha=90.00 beta=90.00 gamma=90.00
Sites, in units of the cell vectors:
Hg (0.000, 0.702, 0.500)
Hg (0.500, 0.298, 0.000)
F (0.500, 0.201, 0.282)
F (0.765, 0.597, 0.000)
F (0.000, 0.799, 0.218)
F (0.725, 0.001, 0.500)
F (0.500, 0.201, 0.718)
F (0.235, 0.597, 0.000)
F (0.000, 0.799, 0.782)
F (0.775, 0.999, 0.000)
F (0.225, 0.999, 0.000)
F (0.735, 0.403, 0.500)
F (0.265, 0.403, 0.500)
F (0.275, 0.001, 0.500)
Ga (0.500, 0.209, 0.500)
Ga (0.000, 0.791, 0.000)
K (0.000, 0.202, 0.727)
K (0.500, 0.798, 0.773)
K (0.000, 0.202, 0.273)
K (0.500, 0.798, 0.227)

---

Below is a relaxed structure of Y2PdO, with properties calculated at the PBE-GGA level.

Space-group type: R-3m, No. 166
Calculated density in g/cm3: 6.23
Spin magnetization in Bohr magnetons per cell: 0.0
Total energy in eV per atom: -7.02

Unit cell a=3.379 b=3.379 c=8.321 alpha=78.29 beta=78.29 gamma=60.00
Sites, in units of the cell vectors:
Y (0.891, 0.891, 0.327)
Y (0.109, 0.109, 0.673)
Pd (0.000, 0.000, 0.000)
O (0.500, 0.500, 0.500)

---

Below is a relaxed structure of BaPmP2S8, with properties calculated at the PBE-GGA level.

Space-group type: P-3, No. 147
Calculated density in g/cm3: 3.28
Spin magnetization in Bohr magnetons per cell: 0.0
Total energy in eV per atom: -5.05

Unit cell a=6.100 b=6.100 c=9.430 alpha=90.00 beta=90.00 gamma=120.00
Sites, in units of the cell vectors:
S (0.002, 0.353, 0.696)
S (0.333, 0.667, 0.974)
S (0.353, 0.351, 0.304)
S (0.649, 0.002, 0.304)
S (0.647, 0.649, 0.696)
S (0.667, 0.333, 0.026)
S (0.998, 0.647, 0.304)
S (0.351, 0.998, 0.696)
Pm (0.000, 0.000, 0.500)
Ba (0.000, 0.000, 0.000)
P (0.333, 0.667, 0.758)
P (0.667, 0.333, 0.242)

---

Question: What is the spin magnetization in the first record?
Answer: 0.0 Bohr magnetons per cell

---

Question: Which value of spin magnetization does entry 4 give?
Answer: 0.0 Bohr magnetons per cell

---

Repeat the first record exactly.
Below is a relaxed structure of Nd8DyHo2, with properties calculated at the PBE-GGA level.

Space-group type: C2/m, No. 12
Energy above the lowest structure with this stoichiometry in eV per atom: 0.009
Calculated density in g/cm3: 7.18
Spin magnetization in Bohr magnetons per cell: 0.0
ΔE_f in eV per atom: 0.168

Unit cell a=6.727 b=10.386 c=10.386 alpha=38.31 beta=59.84 gamma=59.84
Sites, in units of the cell vectors:
Nd (0.168, 0.755, 0.755)
Nd (0.768, 0.652, 0.175)
Nd (0.768, 0.175, 0.652)
Nd (0.832, 0.245, 0.245)
Nd (0.232, 0.348, 0.825)
Nd (0.274, 0.405, 0.405)
Nd (0.726, 0.595, 0.595)
Nd (0.232, 0.825, 0.348)
Ho (0.585, 0.803, 0.803)
Ho (0.415, 0.197, 0.197)
Dy (0.000, 0.000, 0.000)